No. 1
Material: LiTl2SnCl5
Method: DFT, GGA-PBE
State: relaxed

For the formation energy without anion corrections, the calculation gives -27.53 kcal/mol of atoms.

Unit cell a=4.276 b=9.311 c=14.016 alpha=90.00 beta=90.00 gamma=103.27
Element x y z (fractional)
Tl1 0.130 0.260 0.335
Tl2 0.870 0.740 0.835
Tl3 0.907 0.813 0.169
Li1 0.543 0.086 0.922
Sn1 0.191 0.383 0.043
Cl1 0.509 0.019 0.268
Sn2 0.809 0.617 0.543
Tl4 0.093 0.187 0.669
Cl2 0.323 0.646 0.406
Cl3 0.983 0.966 0.495
Cl4 0.017 0.034 0.995
Li2 0.457 0.914 0.422
Cl5 0.666 0.331 0.508
Cl6 0.334 0.669 0.008
Cl7 0.716 0.432 0.178
Cl8 0.284 0.568 0.678
Cl9 0.677 0.354 0.906
Cl10 0.491 0.981 0.768

=====

No. 2
Material: LiTlSnCl6
Method: DFT, GGA-PBE
State: relaxed

For the formation energy without anion corrections, the calculation gives -27.06 kcal/mol of atoms.

Unit cell a=6.645 b=6.645 c=14.141 alpha=90.00 beta=90.00 gamma=120.00
Element x y z (fractional)
Cl1 0.986 0.364 0.149
Cl2 0.378 0.364 0.351
Tl1 0.000 0.000 0.000
Cl3 0.014 0.636 0.851
Cl4 0.378 0.014 0.149
Tl2 0.000 0.000 0.500
Cl5 0.636 0.622 0.149
Cl6 0.364 0.378 0.851
Cl7 0.364 0.986 0.649
Li1 0.667 0.333 0.750
Cl8 0.014 0.378 0.649
Sn1 0.667 0.333 0.250
Li2 0.333 0.667 0.250
Cl9 0.636 0.014 0.351
Cl10 0.622 0.636 0.649
Cl11 0.986 0.622 0.351
Cl12 0.622 0.986 0.851
Sn2 0.333 0.667 0.750

=====

No. 3
Material: LiTlSn2Cl6
Method: DFT, GGA-PBE
State: relaxed

For the formation energy without anion corrections, the calculation gives -26.34 kcal/mol of atoms.

Unit cell a=7.129 b=7.139 c=8.026 alpha=63.66 beta=63.61 gamma=59.93
Element x y z (fractional)
Li1 0.333 0.333 0.003
Sn1 0.525 0.525 0.424
Cl1 0.352 0.726 0.776
Cl2 0.282 0.926 0.231
Cl3 0.143 0.352 0.778
Cl4 0.926 0.562 0.231
Cl5 0.726 0.143 0.778
Tl1 0.806 0.806 0.581
Sn2 0.005 0.005 0.986
Cl6 0.561 0.284 0.228

=====

No. 4
Material: LiUSnCl6
Method: DFT, GGA-PBE
State: relaxed

For the formation energy without anion corrections, the calculation gives -33.66 kcal/mol of atoms.

Unit cell a=6.836 b=6.836 c=12.621 alpha=90.00 beta=90.00 gamma=120.00
Each line ends with the local moment (μB).
Element x y z (fractional)
U1 0.667 0.333 0.250  2.85
Cl1 0.645 0.986 0.369  -0.01
Cl2 0.986 0.341 0.631  -0.01
Cl3 0.341 0.986 0.131  -0.01
Cl4 0.341 0.355 0.369  -0.01
Cl5 0.659 0.014 0.869  -0.01
U2 0.333 0.667 0.750  2.85
Cl6 0.014 0.355 0.131  -0.01
Sn1 0.000 0.000 0.500  0.04
Cl7 0.014 0.659 0.369  -0.01
Li1 0.333 0.667 0.250  0.00
Cl8 0.355 0.014 0.631  -0.01
Li2 0.667 0.333 0.750  0.00
Cl9 0.986 0.645 0.869  -0.01
Cl10 0.659 0.645 0.631  -0.01
Cl11 0.355 0.341 0.869  -0.01
Sn2 0.000 0.000 0.000  0.04
Cl12 0.645 0.659 0.131  -0.01

=====

Q: formation energy without anion corrections of number 3 (LiTlSn2Cl6)?
A: -26.34 kcal/mol of atoms